No. 1
# MgCd2O3 PBE-GGA relaxed
# - ΔE_f (raw): -1.554 eV per atom
data_MgCd2O3
_space_group_name_H-M_alt 'C m c 21'
_space_group_IT_number 36
_cell_length_a 10.666
_cell_length_b 6.149
_cell_length_c 5.580
_cell_angle_alpha 90.00
_cell_angle_beta 90.00
_cell_angle_gamma 90.00
loop_
_space_group_symop_operation_xyz
'x,y,z'
'-x,-y,z+1/2'
'-x,y,z'
'x,-y,z+1/2'
'x+1/2,y+1/2,z'
'-x+1/2,-y+1/2,z+1/2'
'-x+1/2,y+1/2,z'
'x+1/2,-y+1/2,z+1/2'
loop_
_atom_site_label
_atom_site_type_symbol
_atom_site_fract_x
_atom_site_fract_y
_atom_site_fract_z
Mg1 Mg 0.000 0.161 0.000
Cd1 Cd 0.163 0.327 0.508
O1 O 0.000 0.136 0.644
O2 O 0.153 0.321 0.103


No. 2
# Mg2CdOsO8 PBE-GGA relaxed
# - ΔE_f (raw): -1.296 eV per atom
data_Mg2CdOsO8
_space_group_name_H-M_alt 'P -1'
_space_group_IT_number 2
_cell_length_a 4.533
_cell_length_b 4.816
_cell_length_c 6.798
_cell_angle_alpha 89.08
_cell_angle_beta 87.19
_cell_angle_gamma 88.39
loop_
_space_group_symop_operation_xyz
'x,y,z'
'-x,-y,-z'
loop_
_atom_site_label
_atom_site_type_symbol
_atom_site_fract_x
_atom_site_fract_y
_atom_site_fract_z
Mg1 Mg 0.025 0.021 0.281
Cd1 Cd 0.500 0.500 0.000
Os1 Os 0.500 0.500 0.500
O1 O 0.161 0.949 0.991
O2 O 0.240 0.810 0.498
O3 O 0.249 0.325 0.675
O4 O 0.309 0.350 0.278


No. 3
# Mg2CdOsO6 PBE-GGA relaxed
# - ΔE_f (raw): -1.649 eV per atom
data_Mg2CdOsO6
_space_group_name_H-M_alt 'R 3'
_space_group_IT_number 146
_space_group_name_Hall 'R 3'
_cell_length_a 5.3150
_cell_length_b 5.3150
_cell_length_c 14.3821
_cell_angle_alpha 90.00
_cell_angle_beta 90.00
_cell_angle_gamma 120.00
loop_
_atom_site_label
_atom_site_type_symbol
_atom_site_fract_x
_atom_site_fract_y
_atom_site_fract_z
Mg1 Mg 0.0000 0.0000 0.0000
Mg2 Mg 0.0000 0.0000 0.4913
Cd1 Cd 0.0000 0.0000 0.2777
Os1 Os 0.0000 0.0000 0.7988
O1 O 0.0228 0.3452 0.3997
O2 O 0.0683 0.6991 0.5548


No. 4
# MgCdP2O PBE-GGA relaxed
# - ΔE_f (raw): 0.222 eV per atom
data_MgCdP2O
_space_group_name_H-M_alt 'P 4/m m m'
_space_group_IT_number 123
_space_group_name_Hall '-P 4 2'
_cell_length_a 5.143
_cell_length_b 5.143
_cell_length_c 3.609
_cell_angle_alpha 90.00
_cell_angle_beta 90.00
_cell_angle_gamma 90.00
loop_
_atom_site_label
_atom_site_type_symbol
_atom_site_fract_x
_atom_site_fract_y
_atom_site_fract_z
Mg1 Mg 0.000 0.000 0.000
Cd1 Cd 0.500 0.500 0.500
P1 P 0.000 0.500 0.000
O1 O 0.000 0.000 0.500


No. 5
# MgCdPO2 PBE-GGA relaxed
# - ΔE_f (raw): 0.162 eV per atom
data_MgCdPO2
_space_group_name_H-M_alt 'P 4/m m m'
_space_group_IT_number 123
_space_group_name_Hall '-P 4 2'
_cell_length_a 4.132
_cell_length_b 4.132
_cell_length_c 5.158
_cell_angle_alpha 90.00
_cell_angle_beta 90.00
_cell_angle_gamma 90.00
loop_
_atom_site_label
_atom_site_type_symbol
_atom_site_fract_x
_atom_site_fract_y
_atom_site_fract_z
Mg1 Mg 0.000 0.000 0.000
Cd1 Cd 0.500 0.500 0.500
P1 P 0.500 0.500 0.000
O1 O 0.000 0.500 0.500


No. 6
# MgCdP2O PBE-GGA relaxed
# - ΔE_f (raw): 0.610 eV per atom
data_MgCdP2O
_space_group_name_H-M_alt 'P 4/m m m'
_space_group_IT_number 123
_space_group_name_Hall '-P 4 2'
_cell_length_a 5.077
_cell_length_b 5.077
_cell_length_c 4.079
_cell_angle_alpha 90.00
_cell_angle_beta 90.00
_cell_angle_gamma 90.00
loop_
_atom_site_label
_atom_site_type_symbol
_atom_site_fract_x
_atom_site_fract_y
_atom_site_fract_z
Mg1 Mg 0.000 0.000 0.000
Cd1 Cd 0.500 0.500 0.500
P1 P 0.000 0.500 0.500
O1 O 0.500 0.500 0.000